#w
The following is a PBE calculation of a relaxed structure of TlPt15, from OQMD via LeMat-Bulk.

a = 5.547 Å, b = 3.936 Å, c = 35.716 Å
α = 90.00°, β = 90.03°, γ = 90.00°
Positions (direct):
Tl  0.125  0.250  0.186
Tl  0.875  0.750  0.814
Pt  0.122  0.250  0.679
Pt  0.122  0.250  0.760
Pt  0.124  0.250  0.599
Pt  0.125  0.250  0.279
Pt  0.125  0.250  0.361
Pt  0.125  0.250  0.440
Pt  0.125  0.250  0.520
Pt  0.372  0.750  0.240
Pt  0.372  0.750  0.321
Pt  0.374  0.750  0.401
Pt  0.375  0.750  0.480
Pt  0.375  0.750  0.560
Pt  0.375  0.750  0.638
Pt  0.375  0.750  0.717
Pt  0.375  0.750  0.794
Pt  0.625  0.250  0.206
Pt  0.625  0.250  0.283
Pt  0.625  0.250  0.362
Pt  0.625  0.250  0.440
Pt  0.625  0.250  0.520
Pt  0.626  0.250  0.599
Pt  0.628  0.250  0.679
Pt  0.628  0.250  0.760
Pt  0.875  0.750  0.480
Pt  0.875  0.750  0.560
Pt  0.875  0.750  0.639
Pt  0.875  0.750  0.721
Pt  0.876  0.750  0.401
Pt  0.878  0.750  0.240
Pt  0.878  0.750  0.321

Summary:
- magnetization (μB per cell) = 0.0
- V (Å³/cell) = 779.8

=====

#x
The following is a PBE calculation of a relaxed structure of TlPt15, from OQMD via LeMat-Bulk.

a = 3.949 Å, b = 3.950 Å, c = 45.147 Å
α = 90.00°, β = 90.00°, γ = 90.00°
Positions (direct):
Tl  0.250  0.000  0.155
Tl  0.750  0.000  0.845
Pt  0.250  0.000  0.258
Pt  0.250  0.000  0.345
Pt  0.250  0.000  0.434
Pt  0.250  0.000  0.522
Pt  0.250  0.000  0.610
Pt  0.250  0.000  0.699
Pt  0.250  0.000  0.787
Pt  0.250  0.500  0.213
Pt  0.250  0.500  0.301
Pt  0.250  0.500  0.390
Pt  0.250  0.500  0.478
Pt  0.250  0.500  0.566
Pt  0.250  0.500  0.654
Pt  0.250  0.500  0.743
Pt  0.250  0.500  0.830
Pt  0.750  0.000  0.213
Pt  0.750  0.000  0.301
Pt  0.750  0.000  0.390
Pt  0.750  0.000  0.478
Pt  0.750  0.000  0.566
Pt  0.750  0.000  0.655
Pt  0.750  0.000  0.742
Pt  0.750  0.500  0.170
Pt  0.750  0.500  0.257
Pt  0.750  0.500  0.346
Pt  0.750  0.500  0.434
Pt  0.750  0.500  0.522
Pt  0.750  0.500  0.610
Pt  0.750  0.500  0.699
Pt  0.750  0.500  0.787

Summary:
- magnetization (μB per cell) = 0.0
- V (Å³/cell) = 704.4

=====

#x is favored, and the nearest alternative lies 2.8 kJ/mol of atoms above it.

=====

#w
The following is a PBE calculation of a relaxed structure of TlPt15, from OQMD via LeMat-Bulk.

a = 5.558 Å, b = 2.825 Å, c = 45.030 Å
α = 90.00°, β = 90.00°, γ = 90.00°
Positions (direct):
Tl  0.125  0.250  0.156
Tl  0.875  0.750  0.844
Pt  0.120  0.250  0.787
Pt  0.124  0.250  0.698
Pt  0.125  0.250  0.257
Pt  0.125  0.250  0.346
Pt  0.125  0.250  0.434
Pt  0.125  0.250  0.522
Pt  0.125  0.250  0.610
Pt  0.370  0.750  0.213
Pt  0.374  0.750  0.302
Pt  0.375  0.750  0.390
Pt  0.375  0.750  0.478
Pt  0.375  0.750  0.566
Pt  0.375  0.750  0.654
Pt  0.375  0.750  0.742
Pt  0.375  0.750  0.829
Pt  0.625  0.250  0.171
Pt  0.625  0.250  0.258
Pt  0.625  0.250  0.346
Pt  0.625  0.250  0.434
Pt  0.625  0.250  0.522
Pt  0.625  0.250  0.610
Pt  0.626  0.250  0.698
Pt  0.630  0.250  0.787
Pt  0.875  0.750  0.390
Pt  0.875  0.750  0.478
Pt  0.875  0.750  0.566
Pt  0.875  0.750  0.654
Pt  0.875  0.750  0.743
Pt  0.876  0.750  0.302
Pt  0.880  0.750  0.213

Summary:
- magnetization (μB per cell) = 0.0
- V (Å³/cell) = 707.0

=====

#x
The following is a PBE calculation of a relaxed structure of TlPt15, from OQMD via LeMat-Bulk.

a = 7.881 Å, b = 2.800 Å, c = 36.098 Å
α = 90.00°, β = 90.05°, γ = 90.00°
Positions (direct):
Tl  0.125  0.250  0.310
Tl  0.875  0.750  0.690
Pt  0.116  0.250  0.743
Pt  0.118  0.250  0.824
Pt  0.123  0.250  0.902
Pt  0.125  0.250  0.137
Pt  0.125  0.250  0.218
Pt  0.126  0.250  0.058
Pt  0.126  0.250  0.980
Pt  0.366  0.750  0.257
Pt  0.368  0.750  0.176
Pt  0.373  0.750  0.098
Pt  0.375  0.750  0.713
Pt  0.375  0.750  0.788
Pt  0.375  0.750  0.863
Pt  0.376  0.750  0.019
Pt  0.376  0.750  0.941
Pt  0.624  0.250  0.059
Pt  0.624  0.250  0.981
Pt  0.625  0.250  0.137
Pt  0.625  0.250  0.212
Pt  0.625  0.250  0.287
Pt  0.627  0.250  0.902
Pt  0.632  0.250  0.824
Pt  0.634  0.250  0.743
Pt  0.874  0.750  0.020
Pt  0.874  0.750  0.942
Pt  0.875  0.750  0.782
Pt  0.875  0.750  0.863
Pt  0.877  0.750  0.098
Pt  0.882  0.750  0.176
Pt  0.884  0.750  0.257

Summary:
- magnetization (μB per cell) = 0.3
- V (Å³/cell) = 796.5

=====

#w is favored, and the nearest alternative lies 3.4 kJ/mol of atoms above it.

=====

#w
The following is a PBE calculation of a relaxed structure of Tl3Pt, from OQMD via LeMat-Bulk.

a = 6.718 Å, b = 10.109 Å, c = 6.434 Å
α = 90.00°, β = 90.00°, γ = 90.00°
Positions (direct):
Tl  0.137  0.097  0.124
Tl  0.137  0.403  0.124
Tl  0.145  0.250  0.640
Tl  0.355  0.750  0.140
Tl  0.363  0.597  0.624
Tl  0.363  0.903  0.624
Tl  0.637  0.097  0.376
Tl  0.637  0.403  0.376
Tl  0.645  0.250  0.860
Tl  0.855  0.750  0.360
Tl  0.863  0.597  0.876
Tl  0.863  0.903  0.876
Pt  0.000  0.000  0.500
Pt  0.000  0.500  0.500
Pt  0.500  0.000  0.000
Pt  0.500  0.500  0.000

Summary:
- magnetization (μB per cell) = 0.0
- V (Å³/cell) = 436.9

=====

#x
The following is a PBE calculation of a relaxed structure of Tl3Pt, from OQMD via LeMat-Bulk.

a = 5.791 Å, b = 5.791 Å, c = 5.791 Å
α = 90.00°, β = 90.00°, γ = 90.00°
Positions (direct):
Tl  0.000  0.250  0.500
Tl  0.000  0.750  0.500
Tl  0.250  0.500  0.000
Tl  0.500  0.000  0.250
Tl  0.500  0.000  0.750
Tl  0.750  0.500  0.000
Pt  0.000  0.000  0.000
Pt  0.500  0.500  0.500

Summary:
- magnetization (μB per cell) = 0.0
- V (Å³/cell) = 194.2

=====

#w is favored, and the nearest alternative lies 15.5 kJ/mol of atoms above it.

=====

#w
The following is a PBE calculation of a relaxed structure of TlPt2, from OQMD via LeMat-Bulk.

a = 5.460 Å, b = 5.460 Å, c = 5.460 Å
α = 60.00°, β = 60.00°, γ = 60.00°
Positions (direct):
Tl  0.125  0.125  0.125
Tl  0.875  0.875  0.875
Pt  0.000  0.500  0.500
Pt  0.500  0.000  0.500
Pt  0.500  0.500  0.000
Pt  0.500  0.500  0.500

Summary:
- magnetization (μB per cell) = 0.0
- V (Å³/cell) = 115.1

=====

#x
The following is a PBE calculation of a relaxed structure of TlPt2, from OQMD via LeMat-Bulk.

a = 8.437 Å, b = 8.437 Å, c = 8.437 Å
α = 60.00°, β = 60.00°, γ = 60.00°
Positions (direct):
Tl  0.125  0.125  0.125
Tl  0.875  0.875  0.875
Pt  0.000  0.000  0.000
Pt  0.000  0.000  0.500
Pt  0.000  0.500  0.000
Pt  0.500  0.000  0.000

Summary:
- magnetization (μB per cell) = 0.5
- V (Å³/cell) = 424.7

=====

#w is favored, and the nearest alternative lies 201.6 kJ/mol of atoms above it.

=====

#w
The following is a PBE calculation of a relaxed structure of Y3Pt2, from OQMD via LeMat-Bulk.

a = 7.728 Å, b = 7.728 Å, c = 3.993 Å
α = 90.00°, β = 90.00°, γ = 90.00°
Positions (direct):
Y  0.000  0.000  0.000
Y  0.161  0.339  0.500
Y  0.339  0.839  0.500
Y  0.500  0.500  0.000
Y  0.661  0.161  0.500
Y  0.839  0.661  0.500
Pt  0.138  0.638  0.000
Pt  0.362  0.138  0.000
Pt  0.638  0.862  0.000
Pt  0.862  0.362  0.000

Summary:
- magnetization (μB per cell) = 0.0
- V (Å³/cell) = 238.5

=====

#x
The following is a PBE calculation of a relaxed structure of Y3Pt2, from OQMD via LeMat-Bulk.

a = 8.369 Å, b = 8.369 Å, c = 3.287 Å
α = 90.00°, β = 90.00°, γ = 90.00°
Positions (direct):
Y  0.000  0.000  0.000
Y  0.137  0.363  0.000
Y  0.363  0.863  0.000
Y  0.500  0.500  0.000
Y  0.637  0.137  0.000
Y  0.863  0.637  0.000
Pt  0.163  0.663  0.500
Pt  0.337  0.163  0.500
Pt  0.663  0.837  0.500
Pt  0.837  0.337  0.500

Summary:
- magnetization (μB per cell) = 0.0
- V (Å³/cell) = 230.2

=====

#w is favored, and the nearest alternative lies 25.8 kJ/mol of atoms above it.

=====

#w
The following is a PBE calculation of a relaxed structure of Y2Zn2Pt, from OQMD via LeMat-Bulk.

a = 7.436 Å, b = 7.436 Å, c = 7.436 Å
α = 150.05°, β = 150.05°, γ = 42.87°
Positions (direct):
Y  0.100  0.100  0.000
Y  0.900  0.900  0.000
Zn  0.250  0.750  0.500
Zn  0.750  0.250  0.500
Pt  0.500  0.500  0.000

Summary:
- magnetization (μB per cell) = 0.0
- V (Å³/cell) = 102.2

=====

#x
The following is a PBE calculation of a relaxed structure of Y2Zn2Pt, from OQMD via LeMat-Bulk.

a = 7.611 Å, b = 7.611 Å, c = 7.611 Å
α = 131.03°, β = 69.24°, γ = 134.27°
Positions (direct):
Y  0.149  0.218  0.366
Y  0.351  0.718  0.069
Y  0.649  0.282  0.931
Y  0.851  0.782  0.634
Zn  0.112  0.751  0.863
Zn  0.388  0.251  0.639
Zn  0.612  0.749  0.361
Zn  0.888  0.249  0.137
Pt  0.250  0.750  0.500
Pt  0.750  0.250  0.500

Summary:
- magnetization (μB per cell) = 0.0
- V (Å³/cell) = 233.8

=====

#x is favored, and the nearest alternative lies 33.2 kJ/mol of atoms above it.